Entry 1:
Compound: SiOs2Br
Source: the Alexandria database
Functional: PBE
Structure: optimized geometry

Cell: 2.7104 3.7582 8.1965 Å, 90.00 90.00 90.00°
Element x y z (fractional)
Si: 0.0000 0.0000 0.3982
Os: 0.0000 0.0000 0.0988
Os: 0.5000 0.5000 0.2362
Br: 0.5000 0.5000 0.7668

Summary:
* E_form (uncorrected): 635 meV per atom
* M_tot: 0.00 μB per formula unit
* Fermi-level density of states: 2.3 states/eV/f.u.

=====

Entry 2:
Compound: MgC2Se
Source: the Alexandria database
Functional: PBE
Structure: optimized geometry

Cell: 5.1147 5.1147 5.4251 Å, 61.87 61.87 90.00°
Element x y z (fractional)
Mg: 0.5000 0.5000 0.0000
Mg: 0.2500 0.7500 0.5000
C: 0.8750 0.9237 0.7500
Se: 0.7500 0.2500 0.5000
C: 0.6737 0.1250 0.2500
Se: 0.0000 0.0000 0.0000
C: 0.0763 0.6250 0.2500
C: 0.3750 0.3263 0.7500

Summary:
* E_form (uncorrected): 1104 meV per atom
* M_tot: 0.00 μB per formula unit
* Fermi-level density of states: 0.0 states/eV/f.u.

=====

Entry 3:
Compound: EuErCuAu
Source: the Alexandria database
Functional: PBE
Structure: optimized geometry

Cell: 5.0826 5.0826 5.0826 Å, 60.00 60.00 60.00°
Each line ends with the local moment (μB).
Element x y z (fractional)
Cu: 0.2500 0.2500 0.2500  0.00
Au: 0.7500 0.7500 0.7500  0.00
Eu: 0.0000 0.0000 0.0000  6.76
Er: 0.5000 0.5000 0.5000  0.03

Summary:
* energy of formation: -0.454 eV per atom
* M_tot: 6.98 μB per formula unit
* Fermi-level density of states: 8.0 states/eV/f.u.

=====

The calculation returns the following E values, one per record and in order: -6.75; -4.78; -6.01 eV per atom.